Entry 1:
Here is a geometry-optimized TaPt2Au structure from the Alexandria database. Energies are from PBE.

The space group is Cm, No. 8. The raw total energy comes out at -28.6 eV/cell.

Unit cell a=4.985 b=4.985 c=4.914 alpha=80.23 beta=80.23 gamma=33.54
Fractional positions:
Au 0.248 0.248 0.246
Pt 0.004 0.004 0.004
Pt 0.752 0.752 0.735
Ta 0.496 0.496 0.515

---

Entry 2:
Here is a geometry-optimized Ac2MgIr structure from the Alexandria database. Energies are from PBE.

The space group is P4/mmm, No. 123. The raw total energy comes out at -19.8 eV/cell.

Unit cell a=3.803 b=3.803 c=8.485 alpha=90.00 beta=90.00 gamma=90.00
Fractional positions:
Ac 0.000 0.000 0.794
Ac 0.000 0.000 0.206
Ir 0.500 0.500 0.000
Mg 0.500 0.500 0.500

---

Entry 3:
Here is a geometry-optimized ReHg2As structure from the Alexandria database. Energies are from PBE.

The space group is P4/mmm, No. 123. The raw total energy comes out at -14.2 eV/cell.

Unit cell a=2.858 b=2.858 c=9.711 alpha=90.00 beta=90.00 gamma=90.00
Fractional positions:
Re 0.500 0.500 0.250
As 0.500 0.500 0.750
Hg 0.000 0.000 0.021
Hg 0.000 0.000 0.479

---

Entry 4:
Here is a geometry-optimized PmSmMgSc structure from the Alexandria database. Energies are from PBE.

The space group is F-43m, No. 216. The raw total energy comes out at -17.3 eV/cell.

Unit cell a=5.462 b=5.462 c=5.462 alpha=60.00 beta=60.00 gamma=60.00
Fractional positions:
Sc 0.000 0.000 0.000
Mg 0.500 0.500 0.500
Sm 0.750 0.750 0.750
Pm 0.250 0.250 0.250

---

Entry 5:
Here is a geometry-optimized BaLi2IrS structure from the Alexandria database. Energies are from PBE.

The space group is P4/mmm, No. 123. For the uncorrected formation energy, the calculation gives -0.324 eV/atom.

Unit cell a=4.665 b=4.807 c=4.665 alpha=90.00 beta=90.00 gamma=90.00
Fractional positions:
S 0.000 0.000 0.000
Ir 0.000 0.500 0.000
Ba 0.500 0.500 0.500
Li 0.000 0.000 0.500
Li 0.500 0.000 0.000

---

Entry 6:
Here is a geometry-optimized YEr2TmP4 structure from the Alexandria database. Energies are from PBE.

The space group is P2/m, No. 10. The raw total energy comes out at -54.6 eV/cell.

Unit cell a=3.976 b=6.884 c=6.883 alpha=109.47 beta=90.00 gamma=90.00
Fractional positions:
Y 0.000 0.000 0.000
Er 0.500 0.000 0.500
Er 0.000 0.500 0.500
Tm 0.500 0.500 0.000
P 0.500 0.252 0.252
P 0.500 0.748 0.748
P 0.000 0.252 0.750
P 0.000 0.748 0.250

---

Entry 7:
Here is a geometry-optimized MgNiSb structure from the Alexandria database. Energies are from PBE.

The space group is F-43m, No. 216. For the uncorrected formation energy, the calculation gives -0.037 eV/atom.

Unit cell a=4.439 b=4.439 c=4.439 alpha=60.00 beta=60.00 gamma=60.00
Fractional positions:
Mg 0.000 0.000 0.000
Ni 0.500 0.500 0.500
Sb 0.250 0.250 0.250

---

Entry 8:
Here is a geometry-optimized BeSiSN2 structure from the Alexandria database. Energies are from PBE.

The space group is P4/mmm, No. 123. For the uncorrected formation energy, the calculation gives 1.034 eV/atom.

Unit cell a=3.296 b=3.296 c=5.814 alpha=90.00 beta=90.00 gamma=90.00
Fractional positions:
Be 0.000 0.000 0.000
S 0.000 0.000 0.500
Si 0.500 0.500 0.500
N 0.000 0.500 0.000
N 0.500 0.000 0.000